Entry 1:
The following is a DFT calculation (meta-GGA SCAN) of a crystal of Rb2UPd3S6 relaxed with PBEsol.

## Properties
**E_form (uncorrected)**: -12.68 eV/f.u.
**Crystal system**: orthorhombic
**Electronic total energy**: -2510.2 eV/cell

Lattice parameters (Å, degrees): 9.548 14.583 16.516 90.00 90.00 90.00
Space group Fmmm (No. 69)
Asymmetric unit:
Rb 0.000 0.197 0.000 (multiplicity 8)
Rb 0.250 0.250 0.250 (multiplicity 8)
U 0.000 0.000 0.332 (multiplicity 8)
Pd 0.163 0.000 0.160 (multiplicity 16)
Pd 0.173 0.000 0.500 (multiplicity 8)
S 0.000 0.110 0.204 (multiplicity 16)
S 0.186 0.111 0.398 (multiplicity 32)



Entry 2:
The following is a DFT calculation (meta-GGA SCAN) of a crystal of GeSeN3 relaxed with PBEsol.

## Properties
**E_form (uncorrected)**: 9.19 eV/f.u.
**Crystal system**: cubic
**Electronic total energy**: -57.9 eV/cell

Lattice parameters (Å, degrees): 3.762 3.762 3.762 90.00 90.00 90.00
Space group Pm-3m (No. 221)
Asymmetric unit:
Ge 0.000 0.000 0.000 (multiplicity 1)
Se 0.500 0.500 0.500 (multiplicity 1)
N 0.000 0.500 0.500 (multiplicity 3)



Entry 3:
The following is a DFT calculation (meta-GGA SCAN) of a crystal of Sr2LiGaF relaxed with PBEsol.

## Properties
**E_form (uncorrected)**: -6.88 eV/f.u.
**Crystal system**: tetragonal
**Electronic total energy**: -73.7 eV/cell

Lattice parameters (Å, degrees): 5.298 5.298 4.072 90.00 90.00 90.00
Space group P4/mmm (No. 123)
Asymmetric unit:
Sr 0.000 0.500 0.000 (multiplicity 2)
Li 0.000 0.000 0.500 (multiplicity 1)
Ga 0.500 0.500 0.500 (multiplicity 1)
F 0.000 0.000 0.000 (multiplicity 1)



Entry 4:
The following is a DFT calculation (meta-GGA SCAN) of a crystal of Zn2MoHIr relaxed with PBEsol.

## Properties
**Crystal system**: tetragonal
**Electronic total energy**: -135.1 eV/cell

Lattice parameters (Å, degrees): 4.070 4.070 3.570 90.00 90.00 90.00
Space group P4/mmm (No. 123)
Asymmetric unit:
Zn 0.000 0.500 0.000 (multiplicity 2)
Mo 0.000 0.000 0.500 (multiplicity 1)
H 0.500 0.500 0.000 (multiplicity 1)
Ir 0.500 0.500 0.500 (multiplicity 1)



Entry 5:
The following is a DFT calculation (meta-GGA SCAN) of a crystal of DyB2Ir3 relaxed with PBEsol.

## Properties
**Crystal system**: hexagonal
**Electronic total energy**: -280.9 eV/cell
**DFT formation energy**: -0.83 eV/atom

Lattice parameters (Å, degrees): 5.4046 5.4046 3.1316 90.00 90.00 120.00
Space group P6/mmm (No. 191)
Asymmetric unit:
Dy 0.0000 0.0000 0.0000 (multiplicity 1)
B 0.3333 0.6667 0.0000 (multiplicity 2)
Ir 0.0000 0.5000 0.5000 (multiplicity 3)



Entry 6:
The following is a DFT calculation (meta-GGA SCAN) of a crystal of Y2AgP relaxed with PBEsol.

## Properties
**Crystal system**: orthorhombic
**Electronic total energy**: -202.6 eV/cell
**DFT formation energy**: -0.96 eV/atom

Lattice parameters (Å, degrees): 4.083 3.979 10.740 90.00 90.00 90.00
Space group Amm2 (No. 38)
Asymmetric unit:
Y 0.000 0.000 0.000 (multiplicity 2)
Y 0.500 0.000 0.285 (multiplicity 2)
Ag 0.000 0.000 0.716 (multiplicity 2)
P 0.500 0.000 0.553 (multiplicity 2)



Entry 7:
The following is a DFT calculation (meta-GGA SCAN) of a crystal of Na2HfB relaxed with PBEsol.

## Properties
**Crystal system**: tetragonal
**Electronic total energy**: -298.3 eV/cell
**DFT formation energy**: 0.99 eV/atom

Lattice parameters (Å, degrees): 9.053 9.053 4.509 90.00 90.00 90.00
Space group I-42d (No. 122)
Asymmetric unit:
Na 0.143 0.750 0.125 (multiplicity 8)
Hf 0.000 0.000 0.500 (multiplicity 4)
B 0.000 0.000 0.000 (multiplicity 4)



Entry 8:
The following is a DFT calculation (meta-GGA SCAN) of a crystal of CaAlAg4 relaxed with PBEsol.

## Properties
**Crystal system**: cubic
**Electronic total energy**: -574.7 eV/cell
**DFT formation energy**: -0.13 eV/atom

Lattice parameters (Å, degrees): 7.709 7.709 7.709 90.00 90.00 90.00
Space group F-43m (No. 216)
Asymmetric unit:
Ca 0.000 0.000 0.000 (multiplicity 4)
Al 0.250 0.250 0.750 (multiplicity 4)
Ag 0.125 0.125 0.375 (multiplicity 16)



Entry 9:
The following is a DFT calculation (meta-GGA SCAN) of a crystal of In2TcSbO relaxed with PBEsol.

## Properties
**E_form (uncorrected)**: 1.85 eV/f.u.
**Crystal system**: tetragonal
**Electronic total energy**: -143.5 eV/cell

Lattice parameters (Å, degrees): 5.128 5.128 4.903 90.00 90.00 90.00
Space group P4/mmm (No. 123)
Asymmetric unit:
In 0.000 0.500 0.000 (multiplicity 2)
Tc 0.000 0.000 0.000 (multiplicity 1)
Sb 0.000 0.000 0.500 (multiplicity 1)
O 0.500 0.500 0.500 (multiplicity 1)



Entry 10:
The following is a DFT calculation (meta-GGA SCAN) of a crystal of MnBi2P relaxed with PBEsol.

## Properties
**Crystal system**: tetragonal
**Electronic total energy**: -737.6 eV/cell
**DFT formation energy**: 0.36 eV/atom

Lattice parameters (Å, degrees): 6.216 6.216 12.596 90.00 90.00 90.00
Space group I-42d (No. 122)
Asymmetric unit:
Mn 0.000 0.000 0.000 (multiplicity 4)
Bi 0.244 0.250 0.125 (multiplicity 8)
P 0.000 0.000 0.500 (multiplicity 4)



Entry 11:
The following is a DFT calculation (meta-GGA SCAN) of a crystal of Al4CrIr relaxed with PBEsol.

## Properties
**Crystal system**: cubic
**Electronic total energy**: -483.4 eV/cell
**DFT formation energy**: -0.06 eV/atom

Lattice parameters (Å, degrees): 7.029 7.029 7.029 90.00 90.00 90.00
Space group F-43m (No. 216)
Asymmetric unit:
Al 0.125 0.125 0.125 (multiplicity 16)
Cr 0.000 0.000 0.500 (multiplicity 4)
Ir 0.250 0.250 0.750 (multiplicity 4)



Entry 12:
The following is a DFT calculation (meta-GGA SCAN) of a crystal of CaCrMo2Pt relaxed with PBEsol.

## Properties
**Crystal system**: tetragonal
**Electronic total energy**: -162.1 eV/cell
**DFT formation energy**: 1.18 eV/atom

Lattice parameters (Å, degrees): 4.350 4.350 4.925 90.00 90.00 90.00
Space group P4/mmm (No. 123)
Asymmetric unit:
Ca 0.000 0.000 0.000 (multiplicity 1)
Cr 0.000 0.000 0.500 (multiplicity 1)
Mo 0.000 0.500 0.500 (multiplicity 2)
Pt 0.500 0.500 0.000 (multiplicity 1)



Entry 13:
The following is a DFT calculation (meta-GGA SCAN) of a crystal of ZnSiS2 relaxed with PBEsol.

## Properties
**E_form (uncorrected)**: 0.02 eV/f.u.
**Crystal system**: trigonal
**Electronic total energy**: -128.3 eV/cell

Lattice parameters (Å, degrees): 3.5277 3.5277 20.7893 90.00 90.00 120.00
Space group R-3m (No. 166, hexagonal axes)
Asymmetric unit:
Zn 0.0000 0.0000 0.0000 (multiplicity 3)
Si 0.0000 0.0000 0.5000 (multiplicity 3)
S 0.0000 0.0000 0.3968 (multiplicity 6)



Entry 14:
The following is a DFT calculation (meta-GGA SCAN) of a crystal of ReIr2Os relaxed with PBEsol.

## Properties
**Crystal system**: monoclinic
**Electronic total energy**: -570.8 eV/cell
**DFT formation energy**: -0.06 eV/atom

Lattice parameters (Å, degrees): 9.018 2.705 4.697 90.00 99.97 90.00
Space group C2/m (No. 12)
Asymmetric unit:
Re 0.000 0.000 0.000 (multiplicity 2)
Ir 0.250 0.000 0.749 (multiplicity 4)
Os 0.000 0.500 0.500 (multiplicity 2)



Entry 15:
The following is a DFT calculation (meta-GGA SCAN) of a crystal of YZr3 relaxed with PBEsol.

## Properties
**Crystal system**: orthorhombic
**Electronic total energy**: -478.4 eV/cell
**DFT formation energy**: 0.09 eV/atom
**Polymorph energy (0 for the lowest one)**: 15 meV/atom

Lattice parameters (Å, degrees): 7.043 10.683 5.128 90.00 90.00 90.00
Space group Cmcm (No. 63)
Asymmetric unit:
Y 0.000 0.127 0.250 (multiplicity 4)
Zr 0.000 0.321 0.750 (multiplicity 4)
Zr 0.204 0.408 0.250 (multiplicity 8)



Entry 16:
The following is a DFT calculation (meta-GGA SCAN) of a crystal of Ba3NbCr relaxed with PBEsol.

## Properties
**Crystal system**: cubic
**Electronic total energy**: -164.3 eV/cell
**DFT formation energy**: 1.18 eV/atom

Lattice parameters (Å, degrees): 5.916 5.916 5.916 90.00 90.00 90.00
Space group Pm-3m (No. 221)
Asymmetric unit:
Ba 0.000 0.000 0.500 (multiplicity 3)
Nb 0.500 0.500 0.500 (multiplicity 1)
Cr 0.000 0.000 0.000 (multiplicity 1)



Entry 17:
The following is a DFT calculation (meta-GGA SCAN) of a crystal of InAsW2 relaxed with PBEsol.

## Properties
**Crystal system**: tetragonal
**Electronic total energy**: -190.7 eV/cell
**DFT formation energy**: 0.56 eV/atom
**Polymorph energy (0 for the lowest one)**: 0 meV/atom

Lattice parameters (Å, degrees): 3.098 3.098 6.948 90.00 90.00 90.00
Space group P4/mmm (No. 123)
Asymmetric unit:
In 0.000 0.000 0.000 (multiplicity 1)
As 0.000 0.000 0.500 (multiplicity 1)
W 0.500 0.500 0.299 (multiplicity 2)



Entry 18:
The following is a DFT calculation (meta-GGA SCAN) of a crystal of InPbCl relaxed with PBEsol.

## Properties
**E_form (uncorrected)**: -0.97 eV/f.u.
**Crystal system**: tetragonal
**Electronic total energy**: -236.2 eV/cell

Lattice parameters (Å, degrees): 3.384 3.384 13.315 90.00 90.00 90.00
Space group I4mm (No. 107)
Asymmetric unit:
In 0.000 0.000 0.000 (multiplicity 2)
Pb 0.000 0.000 0.677 (multiplicity 2)
Cl 0.000 0.000 0.356 (multiplicity 2)



Entry 19:
The following is a DFT calculation (meta-GGA SCAN) of a crystal of U6Ta4Al43 relaxed with PBEsol.

## Properties
**Crystal system**: hexagonal
**Electronic total energy**: -2458.9 eV/cell
**DFT formation energy**: -0.16 eV/atom

Lattice parameters (Å, degrees): 11.0332 11.0332 17.3595 90.00 90.00 120.00
Space group P6_3/mcm (No. 193)
Asymmetric unit:
U 0.0000 0.4778 0.0871 (multiplicity 12)
Ta 0.0000 0.0000 0.0000 (multiplicity 2)
Ta 0.0000 0.2754 0.2500 (multiplicity 6)
Al 0.0000 0.1489 0.7500 (multiplicity 6)
Al 0.0000 0.1606 0.1149 (multiplicity 12)
Al 0.0000 0.2556 0.5296 (multiplicity 12)
Al 0.1450 0.5554 0.2500 (multiplicity 12)
Al 0.1613 0.3965 0.6613 (multiplicity 24)
Al 0.2469 0.4939 0.0000 (multiplicity 12)
Al 0.3333 0.6667 0.1268 (multiplicity 8)



Entry 20:
The following is a DFT calculation (meta-GGA SCAN) of a crystal of TiCdSb3 relaxed with PBEsol.

## Properties
**E_form (uncorrected)**: 4.77 eV/f.u.
**Crystal system**: cubic
**Electronic total energy**: -153.5 eV/cell

Lattice parameters (Å, degrees): 5.348 5.348 5.348 90.00 90.00 90.00
Space group Pm-3m (No. 221)
Asymmetric unit:
Ti 0.000 0.000 0.000 (multiplicity 1)
Cd 0.500 0.500 0.500 (multiplicity 1)
Sb 0.000 0.500 0.500 (multiplicity 3)